Entry 1:
Density functional theory data (PBE) for a geometry-optimized BeHSe3 structure.

Structure (extended XYZ):
```
5
Lattice="4.600 0.000 0.000 0.000 4.600 0.000 0.000 0.000 4.600" Properties=species:S:1:pos:R:3 pbc="T T T"
Se 0.000 0.000 2.300
Se 0.000 2.300 0.000
H 2.300 2.300 2.300
Be 0.000 0.000 0.000
Se 2.300 0.000 0.000
```

- Raw total energy: -2.74 eV/atom
- E above lowest polymorph: 0.00 eV/f.u.
- Density of states at the Fermi level: 0.91 states/eV/atom

Entry 2:
Density functional theory data (PBE) for a geometry-optimized Be3HSe structure.

Structure (extended XYZ):
```
5
Lattice="-1.905 -2.456 -1.995 2.470 -2.610 0.854 -1.978 -0.894 2.989" Properties=species:S:1:pos:R:3 pbc="T T T"
Be -0.989 -0.447 1.494
Be -0.953 -1.228 -0.997
Be 1.235 -1.305 0.427
Se -0.706 -2.980 0.924
H 0.000 0.000 0.000
```

- Raw total energy: -2.95 eV/atom
- E above lowest polymorph: 0.00 eV/f.u.
- Density of states at the Fermi level: 0.37 states/eV/atom

Entry 3:
Density functional theory data (PBE) for a geometry-optimized BeH2Se structure.

Structure (extended XYZ):
```
4
Lattice="6.903 -0.780 0.736 -0.465 3.030 -1.051 0.638 -1.943 4.150" Properties=species:S:1:pos:R:3 pbc="T T T"
H 4.197 0.055 3.367
Se 0.923 -0.294 1.275
H 4.705 -0.365 3.003
Be 1.242 -1.264 3.348
```

- Raw total energy: -3.50 eV/atom
- E above lowest polymorph: 0.00 eV/f.u.
- Density of states at the Fermi level: 0.06 states/eV/atom

Entry 4:
Density functional theory data (PBE) for a geometry-optimized Be3HSe structure.

Structure (extended XYZ):
```
5
Lattice="-1.475 -0.167 -4.080 4.061 -0.515 -1.447 -0.428 -4.308 0.331" Properties=species:S:1:pos:R:3 pbc="T T T"
Be -0.214 -2.154 0.166
Be 2.030 -0.258 -0.724
H 1.078 -2.495 -2.598
Se 0.000 0.000 0.000
Be -0.738 -0.083 -2.040
```

- Raw total energy: -2.13 eV/atom
- E above lowest polymorph: 4.14 eV/f.u.
- Density of states at the Fermi level: 0.57 states/eV/atom

Question: What is the raw total energy in the second record?
Answer: -2.95 eV/atom

Question: density of states at the Fermi level of number 3 (BeH2Se)?
Answer: 0.06 states/eV/atom

What did the first record say?
Density functional theory data (PBE) for a geometry-optimized BeHSe3 structure.

Structure (extended XYZ):
```
5
Lattice="4.600 0.000 0.000 0.000 4.600 0.000 0.000 0.000 4.600" Properties=species:S:1:pos:R:3 pbc="T T T"
Se 0.000 0.000 2.300
Se 0.000 2.300 0.000
H 2.300 2.300 2.300
Be 0.000 0.000 0.000
Se 2.300 0.000 0.000
```

- Raw total energy: -2.74 eV/atom
- E above lowest polymorph: 0.00 eV/f.u.
- Density of states at the Fermi level: 0.91 states/eV/atom

Question: Which value of density of states at the Fermi level does entry 4 give?
Answer: 0.57 states/eV/atom